1.
The following is a DFT calculation (PBE-GGA) of a relaxed structure of BaY4Os.

The calculation puts the total energy at -133.64 eV/cell. Its energy of formation is 0.93 eV/atom. As for the theoretical density: 6.34 g/cm3.

The space group is F-43m (No. 216) and the conventional cell measures 8.944, 8.944 and 8.944 Å, with angles of 90.00, 90.00 and 90.00 degrees. Symmetry generates all atoms from Ba at (0.000, 0.000, 0.000), Y at (0.123, 0.123, 0.377) and Os at (0.250, 0.250, 0.750).

2.
The following is a DFT calculation (PBE-GGA) of a relaxed structure of Li3MgH.

The calculation puts the total energy at -6.34 eV/cell. The offset from the most stable computed form is 4.721 eV/f.u. As for the theoretical density: 0.50 g/cm3.

The space group is Pm-3m (No. 221) and the conventional cell measures 5.364, 5.364 and 5.364 Å, with angles of 90.00, 90.00 and 90.00 degrees. Symmetry generates all atoms from Li at (0.000, 0.000, 0.500), Mg at (0.000, 0.000, 0.000) and H at (0.500, 0.500, 0.500).

3.
The following is a DFT calculation (PBE-GGA) of a relaxed structure of CdIn12Ga6.

The calculation puts the total energy at -153.56 eV/cell. Its energy of formation is 0.04 eV/atom. The offset from the most stable computed form is 0.000 eV/f.u. As for the theoretical density: 6.82 g/cm3.

The space group is R-3 (No. 148, hexagonal axes) and the conventional cell measures 14.2253, 14.2253 and 7.9501 Å, with angles of 90.00, 90.00 and 120.00 degrees. Symmetry generates all atoms from Cd at (0.0000, 0.0000, 0.0000), In at (0.0030, 0.1383, 0.6626), In at (0.0624, 0.5527, 0.6734) and Ga at (0.0313, 0.2831, 0.3295).

4.
The following is a DFT calculation (PBE-GGA) of a relaxed structure of Ac2IF.

The calculation puts the total energy at -55.15 eV/cell. As for the theoretical density: 6.55 g/cm3. The calculation puts the formation energy without anion corrections at -1.686 eV per atom.

The space group is R-3m (No. 166, hexagonal axes) and the conventional cell measures 4.1503, 4.1503 and 30.5870 Å, with angles of 90.00, 90.00 and 120.00 degrees. Symmetry generates all atoms from Ac at (0.0000, 0.0000, 0.0773), I at (0.0000, 0.0000, 0.5000) and F at (0.0000, 0.0000, 0.0000).

5.
The following is a DFT calculation (PBE-GGA) of a relaxed structure of TiHg2Br4.

The calculation puts the total energy at -39.80 eV/cell. As for the theoretical density: 4.17 g/cm3. The calculation puts the formation energy without anion corrections at -0.673 eV per atom.

The space group is I4/mmm (No. 139) and the conventional cell measures 5.096, 5.096 and 23.603 Å, with angles of 90.00, 90.00 and 90.00 degrees. Symmetry generates all atoms from Ti at (0.000, 0.000, 0.000), Hg at (0.000, 0.000, 0.254), Br at (0.000, 0.000, 0.104) and Br at (0.000, 0.500, 0.000).

6.
The following is a DFT calculation (PBE-GGA) of a relaxed structure of YPtSe2.

The calculation puts the total energy at -45.69 eV/cell. As for the theoretical density: 8.22 g/cm3. The calculation puts the formation energy without anion corrections at -0.843 eV per atom.

The space group is C2/m (No. 12) and the conventional cell measures 7.252, 4.433 and 5.860 Å, with angles of 90.00, 108.64 and 90.00 degrees. Symmetry generates all atoms from Y at (0.000, 0.000, 0.000), Pt at (0.000, 0.500, 0.500) and Se at (0.232, 0.500, 0.265).

7.
The following is a DFT calculation (PBE-GGA) of a relaxed structure of KInCoHg2.

The calculation puts the total energy at -11.65 eV/cell. Its energy of formation is -0.02 eV/atom. As for the theoretical density: 7.64 g/cm3.

The space group is P4/mmm (No. 123) and the conventional cell measures 5.191, 5.191 and 4.950 Å, with angles of 90.00, 90.00 and 90.00 degrees. Symmetry generates all atoms from K at (0.000, 0.000, 0.000), In at (0.500, 0.500, 0.000), Co at (0.500, 0.500, 0.500) and Hg at (0.000, 0.500, 0.500).

8.
The following is a DFT calculation (PBE-GGA) of a relaxed structure of CdSbPtN2.

The calculation puts the total energy at -21.61 eV/cell. As for the theoretical density: 8.31 g/cm3. The calculation puts the formation energy without anion corrections at 1.224 eV per atom.

The space group is P4/mmm (No. 123) and the conventional cell measures 3.951, 3.951 and 5.853 Å, with angles of 90.00, 90.00 and 90.00 degrees. Symmetry generates all atoms from Cd at (0.000, 0.000, 0.000), Sb at (0.500, 0.500, 0.000), Pt at (0.000, 0.000, 0.500) and N at (0.000, 0.500, 0.500).